(1)
First-principles (PBE-GGA) data for a relaxed CsKTl2Sb2 crystal, as listed in Alexandria via LeMat-Bulk.

Cell: 5.5120 5.5120 8.9546 Å, 90.00 90.00 120.00°
Last column: nearest neighbours and their distance in Å.
Positions (direct):
Cs  0.0000  0.0000  0.0000  6 Sb 4.07, 2 K 4.48, 6 Tl 4.52
K  0.0000  0.0000  0.5000  6 Tl 3.43, 6 Sb 3.73
Tl  0.3333  0.6667  0.6420  4 Sb 3.21-3.25, 3 K 3.43
Tl  0.6667  0.3333  0.3580  4 Sb 3.21-3.25, 3 K 3.43
Sb  0.3333  0.6667  0.2834  4 Tl 3.21-3.25
Sb  0.6667  0.3333  0.7166  4 Tl 3.21-3.25

Properties
As for the energy: -2.767 eV per atom.


(2)
First-principles (PBE-GGA) data for a relaxed Cs2KZnSb crystal, as listed in Alexandria via LeMat-Bulk.

Cell: 7.1578 7.1578 5.4192 Å, 90.00 90.00 90.00°
Last column: nearest neighbours and their distance in Å.
Positions (direct):
Cs  0.0000  0.5000  0.0000  2 Zn 3.58
Cs  0.5000  0.0000  0.0000  2 Zn 3.58
K  0.0000  0.0000  0.5000  8 Cs 4.49
Zn  0.5000  0.5000  0.0000  2 Sb 2.71
Sb  0.5000  0.5000  0.5000  2 Zn 2.71

Properties
As for the energy: -1.715 eV per atom.


(3)
First-principles (PBE-GGA) data for a relaxed Cs2K4ZnSb2 crystal, as listed in Alexandria via LeMat-Bulk.

Cell: 9.2897 9.2897 6.3205 Å, 109.21 109.21 55.63°
Last column: nearest neighbours and their distance in Å.
Positions (direct):
Cs  0.1410  0.1410  0.1524  6 K 3.95-3.97, 4 Sb 4.22-4.36, 1 Cs 4.31
Cs  0.8590  0.8590  0.8476  6 K 3.95-3.97, 4 Sb 4.22-4.36, 1 Cs 4.31
K  0.1413  0.5921  0.3568  3 Sb 3.75-3.83, 2 K 3.91-4.07, 3 Cs 3.95-3.97, 1 Zn 4.17
K  0.4079  0.8587  0.6432  3 Sb 3.75-3.83, 2 K 3.91-4.07, 3 Cs 3.95-3.97, 1 Zn 4.17
K  0.5921  0.1413  0.3568  3 Sb 3.75-3.83, 2 K 3.91-4.07, 3 Cs 3.95-3.97, 1 Zn 4.17
K  0.8587  0.4079  0.6432  3 Sb 3.75-3.83, 2 K 3.91-4.07, 3 Cs 3.95-3.97, 1 Zn 4.17
Zn  0.5000  0.5000  0.0000  2 Sb 2.60
Sb  0.3299  0.3299  0.8233  1 Zn 2.60
Sb  0.6701  0.6701  0.1767  1 Zn 2.60

Properties
As for the energy: -1.997 eV per atom.


(4)
First-principles (PBE-GGA) data for a relaxed CsK2Zn2Sb2 crystal, as listed in Alexandria via LeMat-Bulk.

Cell: 15.7607 15.7607 15.7607 Å, 16.86 16.86 16.86°
Last column: nearest neighbours and their distance in Å.
Positions (direct):
Cs  0.0000  0.0000  0.0000  6 Sb 4.05, 6 Zn 4.07
K  0.1221  0.1221  0.1221  3 Zn 3.74, 3 Sb 3.75
K  0.8779  0.8779  0.8779  3 Zn 3.74, 3 Sb 3.75
Zn  0.3992  0.3992  0.3992  3 Sb 2.67
Zn  0.6008  0.6008  0.6008  3 Sb 2.67
Sb  0.2679  0.2679  0.2679  3 Zn 2.67
Sb  0.7321  0.7321  0.7321  3 Zn 2.67

Properties
As for the energy: -2.306 eV per atom.